A relaxed YBeGaPt crystal. Source: OQMD via LeMat-Bulk, functional PBE-GGA.

Properties
The calculation puts the total magnetization at 0.00 μB per cell. The calculation puts the energy above the lowest structure with this stoichiometry at 0.121 eV per atom.

a b c (Å): 6.525 6.525 6.525
angles (deg): 90.00 90.00 90.00
Space group F-43m (No. 216)
Inequivalent atoms, fractional coordinates:
1 Y 0.000 0.000 0.000 x4
2 Be 0.000 0.000 0.500 x4
3 Ga 0.250 0.250 0.250 x4
4 Pt 0.250 0.250 0.750 x4